Below is a relaxed structure of La2TbTh3Sb6, with properties calculated at the PBE level.

Magnetization, μB per cell: 0.00
Space-group type: C2/m (12)
Calculated total energy, eV per atom: -6.20
Raw formation energy, eV per formula unit: -12.9
Density of states at the Fermi level, states/eV/cell: 6.29

abc: 10.1309 10.1309 9.0519
angles: 103.08 103.08 25.82
With the nearest neighbours (Å) after each atom.
Fractional coordinates of all 12 atoms:
La  0.1656  0.1656  0.3321  6 Sb 3.22-3.25
La  0.8344  0.8344  0.6679  6 Sb 3.22-3.25
Tb  0.5000  0.5000  0.0000  6 Sb 3.15-3.17
Th  0.1685  0.1685  0.8347  6 Sb 3.17-3.22
Th  0.5000  0.5000  0.5000  6 Sb 3.18-3.23
Th  0.8315  0.8315  0.1653  6 Sb 3.17-3.22
Sb  0.0025  0.0025  0.7554  2 Tb 3.17, 3 Th 3.19-3.23, 1 La 3.23
Sb  0.3346  0.3346  0.4133  3 Th 3.18, 3 La 3.23-3.25
Sb  0.3360  0.3360  0.9218  1 Tb 3.15, 3 Th 3.17-3.22, 2 La 3.22
Sb  0.6640  0.6640  0.0782  1 Tb 3.15, 3 Th 3.17-3.22, 2 La 3.22
Sb  0.6654  0.6654  0.5867  3 Th 3.18, 3 La 3.23-3.25
Sb  0.9975  0.9975  0.2446  2 Tb 3.17, 3 Th 3.19-3.23, 1 La 3.23